SrLiGe | PBE | relaxed

a = 4.817 Å, b = 6.048 Å, c = 6.048 Å
α = 75.86°, β = 66.53°, γ = 66.53°
Fractional coordinates of all 6 atoms:
Sr (0.936, 0.564, 0.564)
Sr (0.999, 0.001, 0.001)
Li (0.632, 0.583, 0.154)
Li (0.632, 0.154, 0.583)
Ge (0.297, 0.008, 0.397)
Ge (0.297, 0.397, 0.008)

Values from the calculation:
The calculation puts the formation energy at -1.4 eV per formula unit.

---

ThVRh | PBE | relaxed

a = 5.071 Å, b = 3.586 Å, c = 9.476 Å
α = 90.00°, β = 90.00°, γ = 135.00°
Fractional coordinates of all 6 atoms:
Rh (0.694, 0.388, 0.000)
Rh (0.195, 0.390, 0.500)
Th (0.695, 0.389, 0.320)
Th (0.695, 0.389, 0.680)
V (0.194, 0.388, 0.896)
V (0.194, 0.388, 0.104)

Values from the calculation:
The calculation puts the formation energy at -0.4 eV per formula unit.

---

Pu2BiSb | PBE | relaxed

a = 5.400 Å, b = 5.400 Å, c = 5.400 Å
α = 60.00°, β = 60.00°, γ = 60.00°
Fractional coordinates of all 4 atoms:
Sb (0.000, 0.000, 0.000)
Bi (0.500, 0.500, 0.500)
Pu (0.250, 0.250, 0.250)
Pu (0.750, 0.750, 0.750)

Values from the calculation:
Its excess energy over the best structure of this formula in the dataset is 85 meV/atom. The uncorrected formation energy comes out at -411 meV per atom.

---

SrSbTe2N | PBE | relaxed

a = 6.238 Å, b = 6.238 Å, c = 6.421 Å
α = 90.00°, β = 90.00°, γ = 90.00°
Fractional coordinates of all 5 atoms:
Sb (0.000, 0.000, 0.500)
N (0.500, 0.500, 0.500)
Te (0.000, 0.500, 0.000)
Te (0.500, 0.000, 0.000)
Sr (0.000, 0.000, 0.000)

Values from the calculation:
Its excess energy over the best structure of this formula in the dataset is 1329 meV/atom. The uncorrected formation energy comes out at 1326 meV per atom.

---

Sr2YAl2 | PBE | relaxed

a = 7.972 Å, b = 7.972 Å, c = 5.156 Å
α = 90.00°, β = 90.00°, γ = 90.00°
Fractional coordinates of all 10 atoms:
Y (0.000, 0.000, 0.000)
Y (0.500, 0.500, 0.000)
Sr (0.174, 0.674, 0.500)
Sr (0.674, 0.826, 0.500)
Sr (0.826, 0.326, 0.500)
Sr (0.326, 0.174, 0.500)
Al (0.382, 0.882, 0.000)
Al (0.882, 0.618, 0.000)
Al (0.618, 0.118, 0.000)
Al (0.118, 0.382, 0.000)

Values from the calculation:
Its excess energy over the best structure of this formula in the dataset is 0 meV/atom. The calculation puts the formation energy at -0.4 eV per formula unit.

---

NaGa2BiPd | PBE | relaxed

a = 4.835 Å, b = 5.754 Å, c = 4.835 Å
α = 90.00°, β = 90.00°, γ = 90.00°
Fractional coordinates of all 5 atoms:
Na (0.500, 0.500, 0.500)
Ga (0.000, 0.000, 0.500)
Ga (0.500, 0.000, 0.000)
Bi (0.000, 0.500, 0.000)
Pd (0.000, 0.000, 0.000)

Values from the calculation:
The calculation puts the formation energy at -0.6 eV per formula unit.

---

Zr2Cu5 | PBE | relaxed

a = 5.399 Å, b = 6.847 Å, c = 7.205 Å
α = 118.37°, β = 112.00°, γ = 90.00°
Fractional coordinates of all 14 atoms:
Zr (0.404, 0.731, 0.808)
Zr (0.596, 0.269, 0.192)
Zr (0.904, 0.077, 0.808)
Zr (0.096, 0.923, 0.192)
Cu (0.144, 0.369, 0.287)
Cu (0.856, 0.631, 0.713)
Cu (0.644, 0.918, 0.287)
Cu (0.356, 0.082, 0.713)
Cu (0.467, 0.717, 0.435)
Cu (0.033, 0.283, 0.565)
Cu (0.533, 0.283, 0.565)
Cu (0.967, 0.717, 0.435)
Cu (0.750, 0.500, 0.000)
Cu (0.250, 0.500, 0.000)

Values from the calculation:
The calculation puts the formation energy at -0.9 eV per formula unit.

---

Pm5Nd2Dy2 | PBE | relaxed

a = 11.972 Å, b = 6.863 Å, c = 10.197 Å
α = 109.67°, β = 125.95°, γ = 90.00°
Fractional coordinates of all 18 atoms:
Pm (0.196, 0.656, 0.895)
Pm (0.804, 0.762, 0.105)
Pm (0.199, 0.156, 0.895)
Pm (0.801, 0.262, 0.105)
Pm (0.378, 0.023, 0.286)
Pm (0.622, 0.737, 0.714)
Pm (0.408, 0.523, 0.286)
Pm (0.592, 0.237, 0.714)
Pm (0.008, 0.659, 0.500)
Pm (0.992, 0.159, 0.500)
Nd (0.129, 0.686, 0.253)
Nd (0.871, 0.433, 0.747)
Nd (0.623, 0.186, 0.253)
Nd (0.377, 0.933, 0.747)
Dy (0.000, 0.031, 0.000)
Dy (0.500, 0.531, 0.000)
Dy (0.258, 0.350, 0.500)
Dy (0.742, 0.850, 0.500)

Values from the calculation:
Its excess energy over the best structure of this formula in the dataset is 156 meV/atom. The calculation puts the formation energy at 1.8 eV per formula unit.

---

no.,calculated total energy (eV per atom)
1,-3.1909
2,-8.0809
3,-9.5778
4,-2.7562
5,-3.5347
6,-3.4125
7,-5.4967
8,-4.5196